VSnClF2 after structural relaxation, computed with GGA+U.

It has space group P4/mmm (No. 123), with a = 4.439 Å, b = 4.439 Å, c = 5.362 Å, α = 90.00°, β = 90.00° and γ = 90.00°. Symmetry generates all atoms from V at (0.000, 0.000, 0.000), Sn at (0.500, 0.500, 0.000), Cl at (0.500, 0.500, 0.500) and F at (0.000, 0.500, 0.500).

The value obtained for the electronic total energy is -3.364 eV/atom.